No. 1
DFT (PBE) results for SmErTc after structural relaxation.

As for the energy of formation from the pure elements: 0.989 eV/atom.

abc: 4.7774 4.7774 4.7774
angles: 60.00 60.00 60.00
With the nearest neighbours (Å) after each atom.
Fractional coordinates of all 3 atoms:
Sm: 0.0000 0.0000 0.0000  4 Er 2.93, 4 Tc 2.93
Er: 0.7500 0.7500 0.7500  4 Sm 2.93
Tc: 0.2500 0.2500 0.2500  4 Sm 2.93



No. 2
DFT (PBE) results for Sm6ErTc after structural relaxation.

As for the energy of formation from the pure elements: 0.056 eV/atom.

abc: 6.3987 6.3987 6.3987
angles: 99.06 99.06 99.06
With the nearest neighbours (Å) after each atom.
Fractional coordinates of all 8 atoms:
Sm: 0.0620 0.6070 0.7775  1 Tc 2.81
Sm: 0.2225 0.9380 0.3930  1 Tc 2.81
Sm: 0.3930 0.2225 0.9380  1 Tc 2.81
Sm: 0.6070 0.7775 0.0620  1 Tc 2.81
Sm: 0.7775 0.0620 0.6070  1 Tc 2.81
Sm: 0.9380 0.3930 0.2225  1 Tc 2.81
Er: 0.5000 0.5000 0.5000  12 Sm 3.64-3.66
Tc: 0.0000 0.0000 0.0000  6 Sm 2.81



No. 3
DFT (PBE) results for SmEr2Te3 after structural relaxation.

abc: 4.3412 4.3412 10.7426
angles: 90.00 90.00 120.00
With the nearest neighbours (Å) after each atom.
Fractional coordinates of all 6 atoms:
Sm: 0.0000 0.0000 0.0000  6 Te 3.14
Er: 0.3333 0.6667 0.6632  6 Te 3.04-3.06
Er: 0.6667 0.3333 0.3368  6 Te 3.04-3.06
Te: 0.0000 0.0000 0.5000  6 Er 3.06
Te: 0.3333 0.6667 0.1765  3 Er 3.04, 3 Sm 3.14
Te: 0.6667 0.3333 0.8235  3 Er 3.04, 3 Sm 3.14



No. 4
DFT (PBE) results for SmErTe2 after structural relaxation.

abc: 4.2076 4.2076 7.7930
angles: 90.00 90.00 120.00
With the nearest neighbours (Å) after each atom.
Fractional coordinates of all 4 atoms:
Sm: 0.0000 0.0000 0.0000  6 Te 3.16
Er: 0.0000 0.0000 0.5000  6 Te 3.07
Te: 0.3333 0.6667 0.2601  3 Er 3.07, 3 Sm 3.16
Te: 0.6667 0.3333 0.7399  3 Er 3.07, 3 Sm 3.16



No. 5
DFT (PBE) results for SmErTh after structural relaxation.

As for the energy of formation from the pure elements: 0.781 eV/atom.

abc: 5.4236 5.4236 5.4236
angles: 60.00 60.00 60.00
With the nearest neighbours (Å) after each atom.
Fractional coordinates of all 3 atoms:
Sm: 0.0000 0.0000 0.0000  4 Er 3.32
Er: 0.2500 0.2500 0.2500  4 Th 3.32, 4 Sm 3.32
Th: 0.5000 0.5000 0.5000  4 Er 3.32



No. 6
DFT (PBE) results for SmErTl2 after structural relaxation.

abc: 3.8012 3.8012 7.5961
angles: 90.00 90.00 90.00
With the nearest neighbours (Å) after each atom.
Fractional coordinates of all 4 atoms:
Sm: 0.0000 0.0000 0.0000  8 Tl 3.33
Er: 0.0000 0.0000 0.5000  8 Tl 3.25
Tl: 0.5000 0.5000 0.2598  4 Er 3.25, 4 Sm 3.33
Tl: 0.5000 0.5000 0.7402  4 Er 3.25, 4 Sm 3.33



no.,M_tot (μB/f.u.),energy (eV/atom)
1,0.29,-5.556
2,0.01,-5.343
3,0.00,-5.148
4,0.03,-5.205
5,0.00,-4.782
6,0.04,-3.849